(1)
The following is a PBE calculation of a relaxed Al2OsPb crystal, from Alexandria via LeMat-Bulk.

Lattice parameters (Å, degrees): 8.6421 3.2559 6.2820 90.00 94.49 90.00
Space group Cm (No. 8)
Symmetry-distinct sites (fractional):
Al 0.0000 0.0000 0.0000 x2
Al 0.2123 0.5000 0.7897 x2
Os 0.2907 0.0000 0.0739 x2
Pb 0.1029 0.5000 0.3656 x2

Results
The density of states at the Fermi level comes out at 1.005 states/eV/cell. The value obtained for the volume is 176.2 Å³ per cell. For the formation energy, the calculation gives 144 meV/atom.

(2)
The following is a PBE calculation of a relaxed Tl2In3Ga crystal, from Alexandria via LeMat-Bulk.

Lattice parameters (Å, degrees): 6.4885 6.7720 8.4205 98.98 112.52 93.82
Space group P-1 (No. 2)
Symmetry-distinct sites (fractional):
Tl 0.1881 0.0956 0.3698 x2
Tl 0.1888 0.5972 0.3786 x2
In 0.1842 0.7351 0.9999 x2
In 0.3759 0.9400 0.7549 x2
In 0.3806 0.4417 0.7598 x2
Ga 0.2437 0.2319 0.9972 x2

Results
The density of states at the Fermi level comes out at 3.222 states/eV/cell. The value obtained for the volume is 334.3 Å³ per cell. For the formation energy, the calculation gives 31 meV/atom.

(3)
The following is a PBE calculation of a relaxed Li2YAu2 crystal, from Alexandria via LeMat-Bulk.

Lattice parameters (Å, degrees): 7.4874 7.4874 3.5877 90.00 90.00 90.00
Space group P4/mbm (No. 127)
Symmetry-distinct sites (fractional):
Li 0.1477 0.3523 0.0000 x4
Y 0.0000 0.0000 0.5000 x2
Au 0.1374 0.6374 0.5000 x4

Results
The density of states at the Fermi level comes out at 5.650 states/eV/cell. The value obtained for the volume is 201.1 Å³ per cell. For the formation energy, the calculation gives -458 meV/atom.

(4)
The following is a PBE calculation of a relaxed Cs6Bi3Br14 crystal, from Alexandria via LeMat-Bulk.

Lattice parameters (Å, degrees): 13.6841 13.6841 6.4541 90.00 90.00 120.00
Space group P3 (No. 143)
Symmetry-distinct sites (fractional):
Cs 0.0290 0.5618 0.0000 x3
Cs 0.3044 0.1033 0.5199 x3
Bi 0.0000 0.0000 0.9090 x1
Bi 0.3333 0.6667 0.4004 x1
Bi 0.6667 0.3333 0.2615 x1
Br 0.0000 0.0000 0.3907 x1
Br 0.0784 0.8482 0.8653 x3
Br 0.1816 0.4363 0.3609 x3
Br 0.3333 0.6667 0.8830 x1
Br 0.4602 0.2015 0.0256 x3
Br 0.5340 0.4070 0.4969 x3

Results
The density of states at the Fermi level comes out at 2.730 states/eV/cell. The value obtained for the volume is 1046.6 Å³ per cell. The uncorrected formation energy comes out at -1.259 eV/atom.

(5)
The following is a PBE calculation of a relaxed Y2HfCu crystal, from Alexandria via LeMat-Bulk.

Lattice parameters (Å, degrees): 3.3797 3.3797 8.3543 90.00 90.00 90.00
Space group P4/mmm (No. 123)
Symmetry-distinct sites (fractional):
Y 0.0000 0.0000 0.2209 x2
Hf 0.5000 0.5000 0.5000 x1
Cu 0.5000 0.5000 0.0000 x1

Results
The density of states at the Fermi level comes out at 3.398 states/eV/cell. The value obtained for the volume is 95.4 Å³ per cell. For the formation energy, the calculation gives -28 meV/atom.

(6)
The following is a PBE calculation of a relaxed KCd2Ag crystal, from Alexandria via LeMat-Bulk.

Lattice parameters (Å, degrees): 4.6855 4.6855 5.0361 90.00 90.00 90.00
Space group P4/mmm (No. 123)
Symmetry-distinct sites (fractional):
K 0.0000 0.0000 0.0000 x1
Cd 0.0000 0.5000 0.5000 x2
Ag 0.5000 0.5000 0.0000 x1

Results
The density of states at the Fermi level comes out at 0.984 states/eV/cell. The value obtained for the volume is 110.6 Å³ per cell. For the formation energy, the calculation gives 114 meV/atom.

(7)
The following is a PBE calculation of a relaxed Na2BeN crystal, from Alexandria via LeMat-Bulk.

Lattice parameters (Å, degrees): 6.1574 6.1574 6.1574 90.00 90.00 90.00
Space group Fm-3m (No. 225)
Symmetry-distinct sites (fractional):
Na 0.2500 0.2500 0.2500 x8
Be 0.0000 0.0000 0.0000 x4
N 0.0000 0.0000 0.5000 x4

Results
The density of states at the Fermi level comes out at 8.293 states/eV/cell. The value obtained for the volume is 233.5 Å³ per cell. The uncorrected formation energy comes out at 1.104 eV/atom.

(8)
The following is a PBE calculation of a relaxed La12NdZn6 crystal, from Alexandria via LeMat-Bulk.

Lattice parameters (Å, degrees): 11.4035 11.4035 14.9015 90.00 90.00 120.00
Space group R-3 (No. 148, hexagonal axes)
Symmetry-distinct sites (fractional):
La 0.0311 0.8321 0.3048 x18
La 0.0498 0.2178 0.9034 x18
Nd 0.0000 0.0000 0.5000 x3
Zn 0.0379 0.5928 0.2029 x18

Results
The density of states at the Fermi level comes out at 70.110 states/eV/cell. The value obtained for the volume is 1678.2 Å³ per cell. For the formation energy, the calculation gives -91 meV/atom.

(9)
The following is a PBE calculation of a relaxed TaMnFe6 crystal, from Alexandria via LeMat-Bulk.

Lattice parameters (Å, degrees): 7.2443 10.2803 10.3115 90.00 90.00 90.00
Space group Cmmm (No. 65)
Symmetry-distinct sites (fractional):
Ta 0.0000 0.0000 0.2457 x4
Ta 0.0000 0.2407 0.0000 x4
Mn 0.0000 0.2474 0.5000 x4
Mn 0.0000 0.5000 0.2532 x4
Fe 0.0000 0.0000 0.0000 x2
Fe 0.0000 0.0000 0.5000 x2
Fe 0.0000 0.2538 0.2603 x8
Fe 0.0000 0.5000 0.0000 x2
Fe 0.0000 0.5000 0.5000 x2
Fe 0.2356 0.3761 0.1307 x16
Fe 0.2445 0.3727 0.3795 x16

Results
The density of states at the Fermi level comes out at 71.536 states/eV/cell. The value obtained for the volume is 767.9 Å³ per cell. For the formation energy, the calculation gives 4 meV/atom.

(10)
The following is a PBE calculation of a relaxed ErTh5Tl4 crystal, from Alexandria via LeMat-Bulk.

Lattice parameters (Å, degrees): 10.7892 12.2312 4.8201 90.00 90.00 90.00
Space group Pmmn (No. 59, origin choice 2)
Symmetry-distinct sites (fractional):
Er 0.2500 0.2500 0.2494 x2
Th 0.0680 0.0862 0.7495 x8
Th 0.2500 0.7500 0.2510 x2
Tl 0.0455 0.7500 0.7507 x4
Tl 0.2500 0.0020 0.2495 x4

Results
The density of states at the Fermi level comes out at 26.780 states/eV/cell. The value obtained for the volume is 636.1 Å³ per cell. For the formation energy, the calculation gives 31 meV/atom.

(11)
The following is a PBE calculation of a relaxed MnIn2Fe crystal, from Alexandria via LeMat-Bulk.

Lattice parameters (Å, degrees): 3.0331 3.0331 26.7243 90.00 90.00 120.00
Space group R-3m (No. 166, hexagonal axes)
Symmetry-distinct sites (fractional):
Mn 0.0000 0.0000 0.0000 x3
In 0.0000 0.0000 0.2481 x6
Fe 0.0000 0.0000 0.5000 x3

Results
The density of states at the Fermi level comes out at 10.589 states/eV/cell. The value obtained for the volume is 212.9 Å³ per cell. For the formation energy, the calculation gives 392 meV/atom.

(12)
The following is a PBE calculation of a relaxed In2NiPt crystal, from Alexandria via LeMat-Bulk.

Lattice parameters (Å, degrees): 9.8470 3.2663 4.5454 90.00 107.59 90.00
Space group Cm (No. 8)
Symmetry-distinct sites (fractional):
In 0.0000 0.0000 0.0000 x2
In 0.2215 0.0000 0.6391 x2
Ni 0.2414 0.5000 0.1401 x2
Pt 0.4700 0.0000 0.4779 x2

Results
The density of states at the Fermi level comes out at 2.496 states/eV/cell. The value obtained for the volume is 139.4 Å³ per cell. For the formation energy, the calculation gives -201 meV/atom.